{
  "formula": "In2TcRh",
  "functional": "PBE",
  "state": "optimized geometry",
  "total_energy_ev_per_fu": -23.2,
  "ef_ev_per_fu": -0.054,
  "de_polymorph_ev_per_fu": 0.000,
  "lattice_angstrom": [[4.6117, 0.0000, 0.0000], [0.0000, 4.6117, 0.0000], [0.0000, 0.0000, 3.2266]],
  "species": ["In", "In", "Tc", "Rh"],
  "fractional_positions": [[0.0000, 0.5000, 0.0000], [0.5000, 0.0000, 0.0000], [0.0000, 0.0000, 0.5000], [0.5000, 0.5000, 0.5000]]
}